The following is a PBE calculation of crystalline Dy2HfCuS5 at its relaxed geometry, from Alexandria via LeMat-Bulk. Values from VASP.

Cell and atoms, written as Quantum ESPRESSO input:
```
&SYSTEM
  ibrav = 0, nat = 18, ntyp = 4
/
ATOMIC_SPECIES
Dy 162.50 Dy.upf
Hf 178.49 Hf.upf
Cu 63.55 Cu.upf
S 32.06 S.upf
CELL_PARAMETERS angstrom
1.861 -8.109 0.000
1.861 8.109 0.000
0.000 0.000 11.440
ATOMIC_POSITIONS crystal
Dy 0.112 0.888 0.500
Dy 0.127 0.873 0.127
Dy 0.873 0.127 0.627
Dy 0.888 0.112 0.000
Hf 0.189 0.811 0.826
Hf 0.811 0.189 0.326
Cu 0.439 0.561 0.250
Cu 0.561 0.439 0.750
S 0.041 0.959 0.860
S 0.290 0.710 0.482
S 0.308 0.692 0.165
S 0.351 0.649 0.817
S 0.494 0.506 0.578
S 0.506 0.494 0.078
S 0.649 0.351 0.317
S 0.692 0.308 0.665
S 0.710 0.290 0.982
S 0.959 0.041 0.360
```

Results
For the total energy, the calculation gives -116.2 eV for the cell shown. Its space group is No. 36. The volume is 19.19 Å³/atom.